[1]
MnVAg2 after structural relaxation, computed with PBE.

Unit cell a=6.4517 b=6.4517 c=6.4517 alpha=90.00 beta=90.00 gamma=90.00
With the nearest neighbours (Å) after each atom.
Space group Fm-3m (No. 225)
Symmetry-distinct sites (fractional):
Mn  0.0000  0.0000  0.0000 x4  8 Ag 2.79
V  0.0000  0.0000  0.5000 x4  8 Ag 2.79
Ag  0.2500  0.2500  0.2500 x8  4 Mn 2.79, 4 V 2.79

Calculated values
Distance to the lowest polymorph of the same formula = 0.000 eV/atom



[2]
FeAg3W after structural relaxation, computed with PBE.

Unit cell a=4.7339 b=4.7339 c=4.7339 alpha=90.00 beta=90.00 gamma=90.00
With the nearest neighbours (Å) after each atom.
Space group Pm-3m (No. 221)
Symmetry-distinct sites (fractional):
Fe  0.0000  0.0000  0.0000 x1  6 Ag 2.37
Ag  0.0000  0.0000  0.5000 x3  2 Fe 2.37
W  0.5000  0.5000  0.5000 x1  12 Ag 3.35

Calculated values
Distance to the lowest polymorph of the same formula = 0.000 eV/atom



[3]
Tb4NiAg3 after structural relaxation, computed with PBE.

Unit cell a=3.5736 b=3.5736 c=14.5133 alpha=90.00 beta=90.00 gamma=90.00
With the nearest neighbours (Å) after each atom.
Space group P4/mmm (No. 123)
Symmetry-distinct sites (fractional):
Tb  0.0000  0.0000  0.1115 x2  4 Ni 3.00, 4 Ag 3.16, 1 Tb 3.24
Tb  0.0000  0.0000  0.3707 x2  8 Ag 3.14-3.15
Ni  0.5000  0.5000  0.0000 x1  8 Tb 3.00
Ag  0.5000  0.5000  0.2426 x2  8 Tb 3.14-3.16
Ag  0.5000  0.5000  0.5000 x1  8 Tb 3.15

Calculated values
E_tot = -4.434 eV/atom



[4]
BaSc2Se after structural relaxation, computed with PBE.

Unit cell a=3.7114 b=3.7114 c=8.2318 alpha=90.00 beta=90.00 gamma=90.00
With the nearest neighbours (Å) after each atom.
Space group P4mm (No. 99)
Symmetry-distinct sites (fractional):
Ba  0.0000  0.0000  0.0000 x1  5 Sc 3.59-3.86, 4 Se 3.65, 4 Ba 3.71
Sc  0.0000  0.0000  0.5635 x1  4 Se 2.83
Sc  0.5000  0.5000  0.3439 x1  1 Se 2.87, 4 Sc 3.19
Se  0.5000  0.5000  0.6923 x1  5 Sc 2.83-2.87

Calculated values
Uncorrected formation energy = -2.62 eV/f.u.



[5]
MgCd2 after structural relaxation, computed with PBE.

Unit cell a=7.3167 b=7.3167 c=4.5874 alpha=90.00 beta=90.00 gamma=120.00
With the nearest neighbours (Å) after each atom.
Space group P-62m (No. 189)
Symmetry-distinct sites (fractional):
Mg  0.0000  0.0000  0.0000 x1  9 Cd 2.91-3.17
Mg  0.3333  0.6667  0.5000 x2  9 Cd 2.82-3.16
Cd  0.0000  0.2440  0.5000 x3  4 Mg 2.82-2.91, 2 Cd 3.09
Cd  0.0000  0.5669  0.0000 x3  5 Mg 3.16-3.17, 2 Cd 3.29

Calculated values
E_tot = -1.079 eV/atom



[6]
Pm5Dy6Er after structural relaxation, computed with PBE.

Unit cell a=5.0706 b=10.1134 c=15.2209 alpha=90.00 beta=90.00 gamma=90.00
With the nearest neighbours (Å) after each atom.
Space group Immm (No. 71)
Symmetry-distinct sites (fractional):
Pm  0.0000  0.0000  0.0000 x2  8 Dy 3.58-3.59, 4 Pm 3.59
Pm  0.0000  0.0000  0.3343 x4  8 Dy 3.56-3.60, 2 Er 3.58, 2 Pm 3.60
Pm  0.0000  0.5000  0.3334 x4  8 Dy 3.58-3.59, 4 Pm 3.59-3.60
Dy  0.0000  0.2483  0.5000 x4  6 Pm 3.56-3.59, 2 Er 3.57, 4 Dy 3.58
Dy  0.0000  0.2511  0.1662 x8  1 Er 3.57, 7 Pm 3.57-3.60, 4 Dy 3.58-3.60
Er  0.0000  0.5000  0.0000 x2  8 Dy 3.57, 4 Pm 3.58

Calculated values
E_tot = -4.642 eV/atom



[7]
OsI after structural relaxation, computed with PBE.

Unit cell a=5.9262 b=5.9262 c=5.9262 alpha=90.00 beta=90.00 gamma=90.00
With the nearest neighbours (Å) after each atom.
Space group F-43m (No. 216)
Symmetry-distinct sites (fractional):
Os  0.0000  0.0000  0.0000 x4  4 I 2.57
I  0.2500  0.2500  0.2500 x4  4 Os 2.57

Calculated values
Distance to the lowest polymorph of the same formula = 1.019 eV/atom
Uncorrected formation energy = 3.25 eV/f.u.



[8]
LiPt3F after structural relaxation, computed with PBE.

Unit cell a=4.2521 b=4.2521 c=4.2521 alpha=90.00 beta=90.00 gamma=90.00
With the nearest neighbours (Å) after each atom.
Space group Pm-3m (No. 221)
Symmetry-distinct sites (fractional):
Li  0.0000  0.0000  0.0000 x1  6 Pt 2.13
Pt  0.0000  0.0000  0.5000 x3  2 Li 2.13
F  0.5000  0.5000  0.5000 x1  12 Pt 3.01

Calculated values
Distance to the lowest polymorph of the same formula = 0.192 eV/atom
Uncorrected formation energy = 3.72 eV/f.u.